(1)
Computed, not measured: LaPr2AgN after structural relaxation at the PBE-GGA level of DFT.

Geometry as POSCAR:
```
LaPr2AgN
1.0
-0.0632 -2.7384 4.2692
-1.9808 -3.9172 -2.5419
4.6639 -1.6970 -1.0194
N La Ag Pr
1 1 1 2
direct
0.0000 0.0000 0.9999
0.0000 0.0000 0.5001
0.5000 0.5000 0.4996
0.0000 0.5000 0.0002
0.5000 0.0000 0.0002
```

Summary:
The uncorrected formation energy is -0.572 eV/atom. The value obtained for the density of states at the Fermi level is 6.00 states/eV/cell. The value obtained for the size of the total moment is 0.00 μB per formula unit. As for the uncorrected energy: -5.70 eV per atom.

=====

(2)
Computed, not measured: La2PrAgN after structural relaxation at the PBE-GGA level of DFT.

Geometry as POSCAR:
```
La2PrAgN
1.0
-0.6059 -4.8416 1.4251
1.9836 -1.5483 -4.4167
4.6440 0.0296 2.0751
N La Ag Pr
1 2 1 1
direct
0.0000 0.0000 0.9999
0.5000 0.0000 0.9998
0.0000 0.5000 0.9999
0.5000 0.5000 0.5006
0.0000 0.0000 0.4999
```

Summary:
The uncorrected formation energy is -0.595 eV/atom. The value obtained for the density of states at the Fermi level is 6.32 states/eV/cell. The value obtained for the size of the total moment is 0.00 μB per formula unit. As for the uncorrected energy: -5.76 eV per atom.

=====

(3)
Computed, not measured: La2ReAgN after structural relaxation at the PBE-GGA level of DFT.

Geometry as POSCAR:
```
La2ReAgN
1.0
5.3062 0.0000 0.0000
0.0000 5.3062 0.0000
0.0000 0.0000 3.9053
La Re N Ag
2 1 1 1
direct
0.5000 0.0000 0.0000
0.0000 0.5000 0.0000
0.0000 0.0000 0.5000
0.0000 0.0000 0.0000
0.5000 0.5000 0.5000
```

Summary:
The uncorrected formation energy is -0.534 eV/atom. The value obtained for the density of states at the Fermi level is 2.72 states/eV/cell. The value obtained for the size of the total moment is 0.00 μB per formula unit. As for the uncorrected energy: -7.23 eV per atom.

=====

(4)
Computed, not measured: La2AgRhN after structural relaxation at the PBE-GGA level of DFT.

Geometry as POSCAR:
```
La2AgRhN
1.0
5.2194 0.0000 0.0000
0.0000 5.2194 0.0000
0.0000 0.0000 3.9889
Rh Ag N La
1 1 1 2
direct
0.0000 0.0000 0.5000
0.5000 0.5000 0.5000
0.0000 0.0000 0.0000
0.0000 0.5000 0.0000
0.5000 0.0000 0.0000
```

Summary:
The uncorrected formation energy is -0.658 eV/atom. The value obtained for the density of states at the Fermi level is 5.44 states/eV/cell. The value obtained for the size of the total moment is 0.01 μB per formula unit. As for the uncorrected energy: -6.33 eV per atom.

=====

(5)
Computed, not measured: La2AgRuN after structural relaxation at the PBE-GGA level of DFT.

Geometry as POSCAR:
```
La2AgRuN
1.0
5.2876 0.0000 0.0000
0.0000 5.2876 0.0000
0.0000 0.0000 3.8840
La Ag Ru N
2 1 1 1
direct
0.0000 0.5000 0.0000
0.5000 0.0000 0.0000
0.5000 0.5000 0.5000
0.0000 0.0000 0.5000
0.0000 0.0000 0.0000
```

Summary:
The uncorrected formation energy is -0.626 eV/atom. The value obtained for the density of states at the Fermi level is 2.21 states/eV/cell. The value obtained for the size of the total moment is 0.00 μB per formula unit. As for the uncorrected energy: -6.69 eV per atom.

=====

(6)
Computed, not measured: La8Ag2RuN after structural relaxation at the PBE-GGA level of DFT.

Geometry as POSCAR:
```
La8Ag2RuN
1.0
-3.3525 -6.0109 1.7810
1.0286 -2.7240 -6.0448
7.1363 -3.0118 0.8056
La Ag N Ru
8 2 1 1
direct
0.3918 0.2206 0.5334
0.8166 0.2281 0.2015
0.2934 0.1490 0.0825
0.0576 0.7205 0.2806
0.9424 0.2795 0.7194
0.7066 0.8510 0.9175
0.1834 0.7719 0.7985
0.6082 0.7794 0.4666
0.4533 0.5719 0.1653
0.5467 0.4281 0.8347
0.0000 0.0000 0.0000
0.0000 0.0000 0.5000
```

Summary:
The uncorrected formation energy is -0.350 eV/atom. The value obtained for the density of states at the Fermi level is 12.45 states/eV/cell. The value obtained for the size of the total moment is 0.00 μB per formula unit. As for the uncorrected energy: -5.58 eV per atom.